Entry A
The following is a DFT calculation (PBE) of a relaxed MnSb2Pd2 crystal.

Geometry as POSCAR:
```
MnSb2Pd2
1.0
6.9182 0.0000 0.0000
0.0000 6.9182 0.0000
0.0000 0.0000 3.8662
Sb Mn Pd
4 2 4
Direct
0.3377 0.8377 0.0000 Sb
0.8377 0.6623 0.0000 Sb
0.6623 0.1623 0.0000 Sb
0.1623 0.3377 0.0000 Sb
0.0000 0.0000 0.0000 Mn
0.5000 0.5000 0.0000 Mn
0.1446 0.6446 0.5000 Pd
0.6446 0.8554 0.5000 Pd
0.8554 0.3554 0.5000 Pd
0.3554 0.1446 0.5000 Pd
```

crystal system = tetragonal
density of states at the Fermi level = 12.96 states/eV/cell

Entry B
The following is a DFT calculation (PBE) of a relaxed MnSb2Pd2 crystal.

Geometry as POSCAR:
```
MnSb2Pd2
1.0
7.1000 0.0000 0.0000
0.0000 7.1000 0.0000
0.0000 0.0000 3.9060
Sb Mn Pd
4 2 4
Direct
0.1702 0.6702 0.5000 Sb
0.6702 0.8298 0.5000 Sb
0.8298 0.3298 0.5000 Sb
0.3298 0.1702 0.5000 Sb
0.0000 0.0000 0.0000 Mn
0.5000 0.5000 0.0000 Mn
0.3625 0.8625 0.0000 Pd
0.8625 0.6375 0.0000 Pd
0.6375 0.1375 0.0000 Pd
0.1375 0.3625 0.0000 Pd
```

crystal system = tetragonal
density of states at the Fermi level = 6.24 states/eV/cell

Here are the energies relative to the best structure, in kJ/mol of atoms: entry A 23.9; entry B 0.0.

Entry A
The following is a DFT calculation (PBE) of a relaxed MnSbPd3 crystal.

Geometry as POSCAR:
```
MnSbPd3
1.0
7.7744 0.0000 0.0000
0.0000 5.6980 0.0000
0.0000 0.0000 5.6977
Mn Sb Pd
3 3 9
Direct
0.0000 0.5000 0.5000 Mn
0.5000 0.0000 0.5000 Mn
0.5000 0.5000 0.0000 Mn
0.5000 0.0000 0.0000 Sb
0.0000 0.5000 0.0000 Sb
0.0000 0.0000 0.5000 Sb
0.5000 0.5000 0.5000 Pd
0.2482 0.2520 0.2520 Pd
0.7518 0.7480 0.2520 Pd
0.7518 0.2520 0.7480 Pd
0.2482 0.7480 0.7480 Pd
0.2482 0.2520 0.7480 Pd
0.7518 0.7480 0.7480 Pd
0.2482 0.7480 0.2520 Pd
0.7518 0.2520 0.2520 Pd
```

crystal system = tetragonal
density of states at the Fermi level = 8.52 states/eV/cell

Entry B
The following is a DFT calculation (PBE) of a relaxed MnSbPd3 crystal.

Geometry as POSCAR:
```
MnSbPd3
1.0
6.8399 -1.0828 0.0000
-1.0316 6.8478 0.0000
0.0000 0.0000 8.8972
Mn Sb Pd
4 4 12
Direct
0.9958 0.9958 0.2500 Mn
0.0042 0.0042 0.7500 Mn
0.3959 0.3959 0.2500 Mn
0.6041 0.6041 0.7500 Mn
0.5000 0.0000 0.0000 Sb
0.5000 0.0000 0.5000 Sb
0.0000 0.5000 0.0000 Sb
0.0000 0.5000 0.5000 Sb
0.8347 0.5840 0.2500 Pd
0.1653 0.4160 0.7500 Pd
0.4160 0.1653 0.7500 Pd
0.5840 0.8347 0.2500 Pd
0.1826 0.1826 0.4878 Pd
0.8174 0.8174 0.9878 Pd
0.8174 0.8174 0.5122 Pd
0.1826 0.1826 0.0122 Pd
0.3822 0.6178 0.0000 Pd
0.6178 0.3822 0.5000 Pd
0.6178 0.3822 0.0000 Pd
0.3822 0.6178 0.5000 Pd
```

crystal system = orthorhombic
density of states at the Fermi level = 8.23 states/eV/cell

Entry C
The following is a DFT calculation (PBE) of a relaxed MnSbPd3 crystal.

Geometry as POSCAR:
```
MnSbPd3
1.0
-2.4255 -3.7326 1.4728
3.8976 -1.7825 1.9014
-0.9537 2.2079 4.0249
Sb Mn Pd
1 1 3
Direct
0.5000 0.5000 0.5000 Sb
0.0000 0.0000 0.0000 Mn
0.0000 0.5000 0.0000 Pd
0.0000 0.0000 0.5000 Pd
0.5000 0.0000 0.0000 Pd
```

crystal system = cubic
density of states at the Fermi level = 2.62 states/eV/cell

Entry D
The following is a DFT calculation (PBE) of a relaxed MnSbPd3 crystal.

Geometry as POSCAR:
```
MnSbPd3
1.0
-1.6416 -4.6073 0.2578
4.6117 -1.6285 0.2620
-0.1608 0.3305 4.8840
Sb Mn Pd
1 1 3
Direct
0.0000 0.0000 0.0000 Sb
0.5000 0.5000 0.5000 Mn
0.0000 0.5000 0.0000 Pd
0.0000 0.0000 0.5000 Pd
0.5000 0.0000 0.0000 Pd
```

crystal system = cubic
density of states at the Fermi level = 3.05 states/eV/cell

Here are the energies relative to the best structure, in kJ/mol of atoms: entry A 0.0; entry B 22.8; entry C 77.7; entry D 78.9.

Entry A
The following is a DFT calculation (PBE) of a relaxed MnSb2TePd crystal.

Geometry as POSCAR:
```
MnSb2TePd
1.0
4.9477 0.0000 0.0000
0.0000 4.9477 0.0000
0.0000 0.0000 5.1420
Sb Te Pd Mn
2 1 1 1
Direct
0.0000 0.5000 0.0000 Sb
0.5000 0.0000 0.0000 Sb
0.0000 0.0000 0.5000 Te
0.5000 0.5000 0.5000 Pd
0.0000 0.0000 0.0000 Mn
```

crystal system = tetragonal
density of states at the Fermi level = 4.05 states/eV/cell

Entry B
The following is a DFT calculation (PBE) of a relaxed MnSb2TePd crystal.

Geometry as POSCAR:
```
MnSb2TePd
1.0
-2.1218 4.1683 2.1232
-0.6376 -2.5674 4.4031
4.8109 1.6145 1.6380
Sb Te Pd Mn
2 1 1 1
Direct
0.0000 0.5000 0.0000 Sb
0.5000 0.0000 0.0000 Sb
0.0000 0.0000 0.5000 Te
0.0000 0.0000 0.0000 Pd
0.5000 0.5000 0.5000 Mn
```

crystal system = tetragonal
density of states at the Fermi level = 5.88 states/eV/cell

Here are the energies relative to the best structure, in kJ/mol of atoms: entry A 0.0; entry B 56.5.

Entry A
The following is a DFT calculation (PBE) of a relaxed Sc3MnPd crystal.

Geometry as POSCAR:
```
Sc3MnPd
1.0
4.7254 0.0000 0.0000
0.0000 4.7254 0.0000
0.0000 0.0000 4.7254
Sc Mn Pd
3 1 1
Direct
0.0000 0.5000 0.0000 Sc
0.0000 0.0000 0.5000 Sc
0.5000 0.0000 0.0000 Sc
0.0000 0.0000 0.0000 Mn
0.5000 0.5000 0.5000 Pd
```

crystal system = cubic
density of states at the Fermi level = 4.70 states/eV/cell

Entry B
The following is a DFT calculation (PBE) of a relaxed Sc3MnPd crystal.

Geometry as POSCAR:
```
Sc3MnPd
1.0
5.0415 0.0000 0.0000
0.0000 5.0415 0.0000
0.0000 0.0000 5.0415
Sc Mn Pd
3 1 1
Direct
0.0000 0.5000 0.0000 Sc
0.0000 0.0000 0.5000 Sc
0.5000 0.0000 0.0000 Sc
0.5000 0.5000 0.5000 Mn
0.0000 0.0000 0.0000 Pd
```

crystal system = cubic
density of states at the Fermi level = 8.08 states/eV/cell

Here are the energies relative to the best structure, in kJ/mol of atoms: entry A 0.0; entry B 12.6.

Entry A
The following is a DFT calculation (PBE) of a relaxed ScMn2Pd8 crystal.

Geometry as POSCAR:
```
ScMn2Pd8
1.0
3.9989 0.0000 -1.2170
-1.0313 5.9662 -3.3885
0.0375 0.1188 7.3014
Sc Mn Pd
1 2 8
Direct
0.5000 0.0000 0.0000 Sc
0.1952 0.6952 0.3905 Mn
0.8048 0.3048 0.6095 Mn
0.6577 0.8747 0.3154 Pd
0.3423 0.5594 0.6846 Pd
0.1512 0.1512 0.3025 Pd
0.0000 0.3024 0.0000 Pd
0.8488 0.8488 0.6975 Pd
0.6577 0.4406 0.3154 Pd
0.3423 0.1253 0.6846 Pd
0.0000 0.6976 0.0000 Pd
```

crystal system = orthorhombic
density of states at the Fermi level = 6.98 states/eV/cell

Entry B
The following is a DFT calculation (PBE) of a relaxed ScMn2Pd8 crystal.

Geometry as POSCAR:
```
ScMn2Pd8
1.0
4.0324 0.0000 0.0000
0.0000 6.2722 0.3391
-2.0162 -2.3641 6.6440
Sc Mn Pd
1 2 8
Direct
0.5000 0.0000 0.0000 Sc
0.7755 0.3486 0.5511 Mn
0.2245 0.6514 0.4489 Mn
0.4022 0.5388 0.8045 Pd
0.6808 0.9167 0.3615 Pd
0.8572 0.8041 0.7143 Pd
0.9559 0.2738 0.9117 Pd
0.1428 0.1959 0.2857 Pd
0.3192 0.0833 0.6385 Pd
0.5978 0.4612 0.1955 Pd
0.0441 0.7262 0.0883 Pd
```

crystal system = monoclinic
density of states at the Fermi level = 4.85 states/eV/cell

Here are the energies relative to the best structure, in kJ/mol of atoms: entry A 6.3; entry B 0.0.

Entry A
The following is a DFT calculation (PBE) of a relaxed MnPd3Se crystal.

Geometry as POSCAR:
```
MnPd3Se
1.0
4.6664 0.0000 0.0000
0.0000 4.6664 0.0000
0.0000 0.0000 4.6664
Mn Se Pd
1 1 3
Direct
0.5000 0.5000 0.5000 Mn
0.0000 0.0000 0.0000 Se
0.0000 0.5000 0.0000 Pd
0.0000 0.0000 0.5000 Pd
0.5000 0.0000 0.0000 Pd
```

crystal system = cubic
density of states at the Fermi level = 0.92 states/eV/cell

Entry B
The following is a DFT calculation (PBE) of a relaxed MnPd3Se crystal.

Geometry as POSCAR:
```
MnPd3Se
1.0
4.5658 0.0000 0.0000
0.0000 4.5658 0.0000
0.0000 0.0000 4.5658
Mn Se Pd
1 1 3
Direct
0.0000 0.0000 0.0000 Mn
0.5000 0.5000 0.5000 Se
0.0000 0.5000 0.0000 Pd
0.0000 0.0000 0.5000 Pd
0.5000 0.0000 0.0000 Pd
```

crystal system = cubic
density of states at the Fermi level = 8.01 states/eV/cell

Here are the energies relative to the best structure, in kJ/mol of atoms: entry A 0.0; entry B 65.7.